Below is a geometry-optimized Hf3SnP structure, with properties calculated at the PBE level.

Cell and atoms, written as POSCAR:
```
Hf3SnP
1.0
3.193 3.970 -3.185
-5.261 -2.895 0.221
-3.738 7.192 5.215
Hf Sn P
6 2 2
direct
0.047 0.953 0.250 Hf
0.641 0.359 0.557 Hf
0.641 0.359 0.943 Hf
0.953 0.047 0.750 Hf
0.359 0.641 0.443 Hf
0.359 0.641 0.057 Hf
0.257 0.743 0.750 Sn
0.743 0.257 0.250 Sn
0.000 0.000 0.000 P
0.000 0.000 0.500 P
```

## Properties
**Size of the total moment**: 0.00 μB/cell
**Total energy**: -85.6 eV per cell


Below is a geometry-optimized SrHfP2 structure, with properties calculated at the PBE level.

Cell and atoms, written as POSCAR:
```
SrHfP2
1.0
-4.963 -3.612 2.833
3.472 -2.540 -5.216
5.008 -0.732 5.151
Hf P Sr
3 6 3
direct
0.500 0.500 0.500 Hf
0.167 0.833 0.500 Hf
0.833 0.167 0.500 Hf
0.236 0.236 0.708 P
0.903 0.570 0.709 P
0.764 0.764 0.292 P
0.097 0.430 0.291 P
0.570 0.903 0.709 P
0.430 0.097 0.291 P
0.334 0.666 0.000 Sr
0.666 0.334 0.000 Sr
0.000 0.000 0.000 Sr
```

## Properties
**Size of the total moment**: 0.00 μB/cell
**Total energy**: -81.8 eV per cell


Below is a geometry-optimized Hf3TlP structure, with properties calculated at the PBE level.

Cell and atoms, written as POSCAR:
```
Hf3TlP
1.0
1.802 -5.954 0.000
1.802 5.954 0.000
0.000 0.000 9.820
Tl Hf P
2 6 2
direct
0.262 0.738 0.750 Tl
0.738 0.262 0.250 Tl
0.964 0.036 0.750 Hf
0.359 0.641 0.447 Hf
0.641 0.359 0.947 Hf
0.641 0.359 0.553 Hf
0.359 0.641 0.053 Hf
0.036 0.964 0.250 Hf
0.000 0.000 0.000 P
0.000 0.000 0.500 P
```

## Properties
**Size of the total moment**: 0.01 μB/cell
**Total energy**: -80.2 eV per cell


Below is a geometry-optimized Hf3TlP5 structure, with properties calculated at the PBE level.

Cell and atoms, written as POSCAR:
```
Hf3TlP5
1.0
-1.588 5.849 -0.410
-1.563 -3.887 -4.399
-5.081 -1.179 2.848
P Hf Tl
5 3 1
direct
0.667 0.333 0.817 P
0.000 0.000 0.500 P
0.667 0.333 0.183 P
0.333 0.667 0.817 P
0.333 0.667 0.183 P
0.000 0.500 0.500 Hf
0.500 0.000 0.500 Hf
0.500 0.500 0.500 Hf
0.000 0.000 0.000 Tl
```

## Properties
**Size of the total moment**: 0.00 μB/cell
**Total energy**: -63.4 eV per cell


Below is a geometry-optimized Hf9PW4 structure, with properties calculated at the PBE level.

Cell and atoms, written as POSCAR:
```
Hf9PW4
1.0
-1.100 5.826 -6.301
-6.584 -1.993 5.246
2.403 6.306 5.411
P Hf W
2 18 8
direct
0.333 0.667 0.750 P
0.667 0.333 0.250 P
0.461 0.539 0.250 Hf
0.539 0.461 0.750 Hf
0.197 0.803 0.548 Hf
0.078 0.539 0.250 Hf
0.197 0.395 0.952 Hf
0.605 0.803 0.952 Hf
0.803 0.197 0.452 Hf
0.395 0.197 0.048 Hf
0.197 0.395 0.548 Hf
0.539 0.078 0.750 Hf
0.605 0.803 0.548 Hf
0.922 0.461 0.750 Hf
0.197 0.803 0.952 Hf
0.395 0.197 0.452 Hf
0.803 0.197 0.048 Hf
0.803 0.605 0.452 Hf
0.461 0.922 0.250 Hf
0.803 0.605 0.048 Hf
0.110 0.890 0.250 W
0.779 0.890 0.250 W
0.110 0.221 0.250 W
0.890 0.110 0.750 W
0.890 0.779 0.750 W
0.221 0.110 0.750 W
0.000 0.000 0.500 W
0.000 0.000 0.000 W
```

## Properties
**Size of the total moment**: 0.01 μB/cell
**Total energy**: -302.0 eV per cell


Below is a geometry-optimized Hf5ZnP3 structure, with properties calculated at the PBE level.

Cell and atoms, written as POSCAR:
```
Hf5ZnP3
1.0
7.990 0.000 0.000
-3.995 6.920 0.000
0.000 0.000 5.477
Hf P Zn
10 6 2
direct
0.667 0.333 0.000 Hf
0.718 0.000 0.750 Hf
0.333 0.667 0.000 Hf
0.667 0.333 0.500 Hf
0.000 0.718 0.750 Hf
0.333 0.667 0.500 Hf
0.282 0.000 0.250 Hf
0.282 0.282 0.750 Hf
0.718 0.718 0.250 Hf
0.000 0.282 0.250 Hf
0.618 0.618 0.750 P
0.000 0.618 0.250 P
0.382 0.382 0.250 P
0.382 0.000 0.750 P
0.000 0.382 0.750 P
0.618 0.000 0.250 P
0.000 0.000 0.000 Zn
0.000 0.000 0.500 Zn
```

## Properties
**Size of the total moment**: 0.00 μB/cell
**Total energy**: -148.9 eV per cell


Below is a geometry-optimized HfZrP2 structure, with properties calculated at the PBE level.

Cell and atoms, written as POSCAR:
```
HfZrP2
1.0
-3.437 0.531 -1.215
0.576 -1.148 3.453
0.468 11.886 3.875
Zr Hf P
2 2 4
direct
0.333 0.667 0.383 Zr
0.667 0.333 0.617 Zr
0.667 0.333 0.885 Hf
0.333 0.667 0.115 Hf
0.333 0.667 0.754 P
0.000 0.000 0.000 P
0.000 0.000 0.500 P
0.667 0.333 0.246 P
```

## Properties
**Size of the total moment**: 0.00 μB/cell
**Total energy**: -69.4 eV per cell


Below is a geometry-optimized HfZrP2 structure, with properties calculated at the PBE level.

Cell and atoms, written as POSCAR:
```
HfZrP2
1.0
-1.951 3.115 0.250
-1.685 -3.165 -0.845
-1.958 -2.203 12.156
Zr P Hf
2 4 2
direct
0.333 0.667 0.384 Zr
0.667 0.333 0.884 Zr
0.667 0.333 0.248 P
0.000 0.000 0.502 P
0.000 0.000 0.002 P
0.333 0.667 0.748 P
0.667 0.333 0.616 Hf
0.333 0.667 0.116 Hf
```

## Properties
**Size of the total moment**: 0.00 μB/cell
**Total energy**: -69.4 eV per cell


Below is a geometry-optimized Hf3ZrP4 structure, with properties calculated at the PBE level.

Cell and atoms, written as POSCAR:
```
Hf3ZrP4
1.0
-3.385 0.730 1.223
0.492 -1.193 -3.438
-1.122 -11.770 3.922
Zr P Hf
1 4 3
direct
0.000 0.000 0.884 Zr
0.000 0.000 0.251 P
0.333 0.667 0.003 P
0.333 0.667 0.499 P
0.667 0.333 0.747 P
0.667 0.333 0.117 Hf
0.000 0.000 0.615 Hf
0.667 0.333 0.383 Hf
```

## Properties
**Size of the total moment**: 0.00 μB/cell
**Total energy**: -70.6 eV per cell


Below is a geometry-optimized HfZrP2 structure, with properties calculated at the PBE level.

Cell and atoms, written as POSCAR:
```
HfZrP2
1.0
3.686 0.000 0.000
-1.843 3.192 0.000
0.000 0.000 12.507
P Zr Hf
4 2 2
direct
0.000 0.000 0.500 P
0.333 0.667 0.000 P
0.667 0.333 0.754 P
0.667 0.333 0.246 P
0.333 0.667 0.365 Zr
0.333 0.667 0.635 Zr
0.000 0.000 0.867 Hf
0.000 0.000 0.133 Hf
```

## Properties
**Size of the total moment**: 0.01 μB/cell
**Total energy**: -69.4 eV per cell


Below is a geometry-optimized HfPa structure, with properties calculated at the PBE level.

Cell and atoms, written as POSCAR:
```
HfPa
1.0
0.000 2.975 2.975
2.975 0.000 2.975
2.975 2.975 0.000
Hf Pa
1 1
direct
0.000 0.000 0.000 Hf
0.500 0.500 0.500 Pa
```

## Properties
**Size of the total moment**: 0.08 μB/cell
**Energy relative to the lowest polymorph listed for this composition**: 1.1585 eV per atom


Below is a geometry-optimized HfPa structure, with properties calculated at the PBE level.

Cell and atoms, written as POSCAR:
```
HfPa
1.0
-2.361 -2.365 2.969
-4.446 0.429 0.171
-2.623 -3.344 -1.385
Hf Pa
1 1
direct
0.000 0.000 0.000 Hf
0.250 0.250 0.250 Pa
```

## Properties
**Size of the total moment**: 0.70 μB/cell
**Energy relative to the lowest polymorph listed for this composition**: 2.2452 eV per atom


Below is a geometry-optimized HfPa structure, with properties calculated at the PBE level.

Cell and atoms, written as POSCAR:
```
HfPa
1.0
3.168 0.000 0.000
-1.584 2.744 0.000
0.000 0.000 5.465
Hf Pa
1 1
direct
0.667 0.333 0.750 Hf
0.333 0.667 0.250 Pa
```

## Properties
**Size of the total moment**: 0.01 μB/cell
**Energy relative to the lowest polymorph listed for this composition**: 0.0000 eV per atom


Below is a geometry-optimized Hf2PaPb2 structure, with properties calculated at the PBE level.

Cell and atoms, written as POSCAR:
```
Hf2PaPb2
1.0
-2.277 6.924 2.220
1.366 7.014 -2.646
-1.970 -7.183 -1.607
Pa Hf Pb
1 2 2
direct
0.000 0.000 0.000 Pa
0.250 0.750 0.500 Hf
0.750 0.250 0.500 Hf
0.396 0.396 0.000 Pb
0.604 0.604 0.000 Pb
```

## Properties
**Size of the total moment**: 0.73 μB/cell
**Energy relative to the lowest polymorph listed for this composition**: 0.0000 eV per atom


Below is a geometry-optimized Hf2PaPb2 structure, with properties calculated at the PBE level.

Cell and atoms, written as POSCAR:
```
Hf2PaPb2
1.0
-2.274 2.274 6.705
2.274 -2.274 6.705
2.274 2.274 -6.705
Hf Pa Pb
2 1 2
direct
0.400 0.400 0.000 Hf
0.600 0.600 0.000 Hf
0.000 0.000 0.000 Pa
0.250 0.750 0.500 Pb
0.750 0.250 0.500 Pb
```

## Properties
**Size of the total moment**: 1.32 μB/cell
**Energy relative to the lowest polymorph listed for this composition**: 0.3916 eV per atom


Below is a geometry-optimized HfPaPd structure, with properties calculated at the PBE level.

Cell and atoms, written as POSCAR:
```
HfPaPd
1.0
1.634 -4.293 -1.027
-1.513 -3.737 2.428
-2.816 -3.160 -2.057
Pd Pa Hf
1 1 1
direct
0.750 0.750 0.750 Pd
0.500 0.500 0.500 Pa
0.000 0.000 0.000 Hf
```

## Properties
**Size of the total moment**: 1.82 μB/cell
**Energy relative to the lowest polymorph listed for this composition**: 0.0000 eV per atom


Below is a geometry-optimized PmHfPa structure, with properties calculated at the PBE level.

Cell and atoms, written as POSCAR:
```
PmHfPa
1.0
1.286 -4.793 -0.960
1.171 -3.113 3.806
-3.141 -3.758 1.249
Pm Hf Pa
1 1 1
direct
0.750 0.750 0.750 Pm
0.000 0.000 0.000 Hf
0.250 0.250 0.250 Pa
```

## Properties
**Size of the total moment**: 0.01 μB/cell
**Energy relative to the lowest polymorph listed for this composition**: 0.0000 eV per atom


Below is a geometry-optimized RbHfPa structure, with properties calculated at the PBE level.

Cell and atoms, written as POSCAR:
```
RbHfPa
1.0
-5.042 -1.247 0.958
-3.725 3.740 -0.179
-3.522 0.033 -3.936
Hf Rb Pa
1 1 1
direct
0.000 0.000 0.000 Hf
0.750 0.750 0.750 Rb
0.250 0.250 0.250 Pa
```

## Properties
**Size of the total moment**: 1.04 μB/cell
**Energy relative to the lowest polymorph listed for this composition**: 0.0000 eV per atom


Below is a geometry-optimized HfPaSb structure, with properties calculated at the PBE level.

Cell and atoms, written as POSCAR:
```
HfPaSb
1.0
0.000 3.549 3.549
3.549 0.000 3.549
3.549 3.549 0.000
Hf Sb Pa
1 1 1
direct
0.250 0.250 0.250 Hf
0.750 0.750 0.750 Sb
0.000 0.000 0.000 Pa
```

## Properties
**Size of the total moment**: 2.73 μB/cell
**Total energy**: -21.2 eV per cell


Below is a geometry-optimized HfScPa structure, with properties calculated at the PBE level.

Cell and atoms, written as POSCAR:
```
HfScPa
1.0
0.000 3.485 3.485
3.485 0.000 3.485
3.485 3.485 0.000
Sc Pa Hf
1 1 1
direct
0.750 0.750 0.750 Sc
0.250 0.250 0.250 Pa
0.000 0.000 0.000 Hf
```

## Properties
**Size of the total moment**: 1.75 μB/cell
**Energy relative to the lowest polymorph listed for this composition**: 0.0000 eV per atom